A crystal of BaTc2Br relaxed with PBEsol. Source: Alexandria via LeMat-Bulk, functional SCAN.

Unit cell a=3.4827 b=3.4827 c=7.8572 alpha=90.00 beta=90.00 gamma=90.00
With the nearest neighbours (Å) after each atom.
Positions (direct):
Tc (0.0000, 0.0000, 0.1281)  4 Tc 2.48
Tc (0.5000, 0.5000, 0.0966)  4 Tc 2.48, 1 Br 2.60
Ba (0.0000, 0.0000, 0.5098)  1 Tc 3.00, 4 Br 3.18
Br (0.5000, 0.5000, 0.7655)  1 Tc 2.60

Computed properties:
The calculation puts the formation energy without anion corrections at 0.211 eV/atom. The calculation puts the density of states at the Fermi level at 1.884 states/eV/f.u. Its energy above the lowest structure with this stoichiometry is 0 meV/atom. The raw total energy is -32.07 eV per atom. Its space group is P4mm (99).